Entry 1:
Material: Nd2Ni
Method: DFT, PBE
State: optimized geometry

The formation energy from the elements comes out at 1.07 eV/atom. The value obtained for the raw total energy is -3.96 eV/atom.

The structure belongs to space group Fd-3m (No. 227, origin choice 2); the cell edges are 11.869, 11.869 and 11.869 Å and the angles 90.00°, 90.00° and 90.00°. The asymmetric unit holds Nd at (0.000, 0.000, 0.000) and Ni at (0.125, 0.125, 0.125).

Entry 2:
Material: LiYCoSb
Method: DFT, PBE
State: optimized geometry

The value obtained for the raw total energy is -5.11 eV/atom. The calculation puts the energy above the most stable polymorph in this dataset at 0.309 eV/atom.

The structure belongs to space group F-43m (No. 216); the cell edges are 6.848, 6.848 and 6.848 Å and the angles 90.00°, 90.00° and 90.00°. The asymmetric unit holds Li at (0.000, 0.000, 0.000), Y at (0.000, 0.000, 0.500), Co at (0.250, 0.250, 0.250) and Sb at (0.250, 0.250, 0.750).

Entry 3:
Material: DyInPbS3
Method: DFT, PBE
State: optimized geometry

The value obtained for the raw total energy is -4.92 eV/atom.

The structure belongs to space group Cmcm (No. 63); the cell edges are 3.973, 14.492 and 11.076 Å and the angles 90.00°, 90.00° and 90.00°. The asymmetric unit holds Dy at (0.000, 0.000, 0.000), In at (0.000, 0.357, 0.250), Pb at (0.000, 0.326, 0.750), S at (0.000, 0.011, 0.750) and S at (0.000, 0.371, 0.501).

Entry 4:
Material: BaGaSnPdAu
Method: DFT, PBE
State: optimized geometry

The value obtained for the raw total energy is -4.13 eV/atom. The calculation puts the energy above the most stable polymorph in this dataset at 0.009 eV/atom.

The structure belongs to space group P4/nmm (No. 129, origin choice 2); the cell edges are 4.795, 4.795 and 10.589 Å and the angles 90.00°, 90.00° and 90.00°. The asymmetric unit holds Ba at (0.250, 0.250, 0.244), Ga at (0.250, 0.250, 0.878), Sn at (0.250, 0.750, 0.500), Pd at (0.250, 0.250, 0.636) and Au at (0.250, 0.750, 0.000).

Entry 5:
Material: TbEr2Zn3PdAu2
Method: DFT, PBE
State: optimized geometry

The formation energy from the elements comes out at -0.71 eV/atom. The value obtained for the raw total energy is -3.96 eV/atom.

The structure belongs to space group Amm2 (No. 38); the cell edges are 3.923, 12.746 and 7.328 Å and the angles 90.00°, 90.00° and 90.00°. The asymmetric unit holds Tb at (0.000, 0.000, 0.000), Er at (0.000, 0.201, 0.607), Zn at (0.500, 0.000, 0.649), Zn at (0.500, 0.122, 0.284), Pd at (0.000, 0.000, 0.408) and Au at (0.500, 0.169, 0.904).

Entry 6:
Material: PrAsPbO
Method: DFT, PBE
State: optimized geometry

The value obtained for the raw total energy is -5.89 eV/atom. The calculation puts the energy above the most stable polymorph in this dataset at 0.067 eV/atom.

The structure belongs to space group Pmc2_1 (No. 26); the cell edges are 4.107, 9.037 and 6.205 Å and the angles 90.00°, 90.00° and 90.00°. The asymmetric unit holds Pr at (0.000, 0.168, 0.000), As at (0.000, 0.163, 0.493), Pb at (0.500, 0.363, 0.593) and O at (0.500, 0.272, 0.952).